This record from the Open Quantum Materials Database describes a relaxed TlReTe4Au3 crystal. The functional is PBE.

a b c (Å): 6.644 6.644 6.644
angles (deg): 90.00 90.00 90.00
Last column: magnetic moment on the atom in μB.
Sites, in units of the cell vectors:
Au 0.000 0.500 0.000  0.07
Au 0.000 0.000 0.500  0.10
Au 0.500 0.000 0.000  0.04
Re 0.000 0.000 0.000  1.96
Te 0.771 0.771 0.771  0.04
Te 0.229 0.229 0.771  0.02
Te 0.771 0.229 0.229  0.03
Te 0.229 0.771 0.229  0.02
Tl 0.500 0.500 0.500  0.05

## Properties
Its crystal system is cubic. The total energy is -3.9020 eV/atom. The value obtained for the volume is 293.3 Å³ per cell. As for the space-group type: P-43m, No. 215.



This record from the Open Quantum Materials Database describes a relaxed TlReTe3Au crystal. The functional is PBE.

a b c (Å): 8.038 8.038 10.893
angles (deg): 90.00 90.00 28.53
Last column: magnetic moment on the atom in μB.
Sites, in units of the cell vectors:
Re 0.500 0.500 0.500  1.74
Re 0.500 0.500 0.000  1.76
Te 0.877 0.877 0.986  0.03
Te 0.123 0.123 0.486  0.03
Te 0.440 0.440 0.250  -0.02
Te 0.877 0.877 0.514  0.03
Te 0.123 0.123 0.014  0.03
Te 0.560 0.560 0.750  -0.02
Tl 0.264 0.264 0.750  0.03
Tl 0.736 0.736 0.250  0.03
Au 0.929 0.929 0.750  0.07
Au 0.071 0.071 0.250  0.07

## Properties
Its crystal system is orthorhombic. The total energy is -4.3742 eV/atom. The value obtained for the volume is 336.2 Å³ per cell. As for the space-group type: Cmcm, No. 63.



This record from the Open Quantum Materials Database describes a relaxed ThReAu crystal. The functional is PBE.

a b c (Å): 4.721 4.721 4.721
angles (deg): 60.00 60.00 60.00
Last column: magnetic moment on the atom in μB.
Sites, in units of the cell vectors:
Th 0.750 0.750 0.750  0.00
Au 0.000 0.000 0.000  0.03
Re 0.250 0.250 0.250  0.95

## Properties
The formation energy from the elements is 614 meV/atom. Its crystal system is cubic. The total energy is -7.0869 eV/atom. The value obtained for the volume is 74.4 Å³ per cell. As for the space-group type: F-43m, No. 216.



This record from the Open Quantum Materials Database describes a relaxed YRe2Au crystal. The functional is PBE.

a b c (Å): 4.664 4.664 4.664
angles (deg): 60.00 60.00 60.00
Sites, in units of the cell vectors:
Re 0.750 0.750 0.750
Re 0.500 0.500 0.500
Y 0.000 0.000 0.000
Au 0.250 0.250 0.250

## Properties
The formation energy from the elements is 331 meV/atom. Its crystal system is cubic. The total energy is -8.3136 eV/atom. The value obtained for the volume is 71.7 Å³ per cell. As for the space-group type: F-43m, No. 216.